No. 1
Computed, not measured: crystalline BeOsBr2 at its relaxed geometry at the PBE level of DFT.

Computed properties:
The energy relative to the elements, uncorrected comes out at 1.33 eV/atom. The space-group type is P4/mmm, No. 123. The value obtained for the spin magnetization is 0.00 Bohr magnetons per cell. The energy above the lowest structure with this stoichiometry is 1.144 eV per atom.

Cell lengths 4.5927, 4.5925, 3.1172 Å; angles 90.00, 90.00, 90.01 degrees
Element x y z (fractional)
Be  0.0000  0.5000  0.5000
Os  0.5000  0.0000  0.5000
Br  0.0000  0.0000  0.0000
Br  0.5000  0.5000  0.0000

---

No. 2
Computed, not measured: crystalline DyPuSnRu at its relaxed geometry at the PBE level of DFT.

Computed properties:
As for the energy relative to the elements: -0.194 eV/atom. The space-group type is F-43m, No. 216. The value obtained for the spin magnetization is 4.89 Bohr magnetons per cell.

Cell lengths 5.0750, 5.0750, 5.0750 Å; angles 60.00, 60.00, 60.00 degrees
Element x y z (fractional)
Ru  0.7500  0.7500  0.7500
Dy  0.0000  0.0000  0.0000
Sn  0.2500  0.2500  0.2500
Pu  0.5000  0.5000  0.5000

---

No. 3
Computed, not measured: crystalline BaMgGa2 at its relaxed geometry at the PBE level of DFT.

Computed properties:
As for the energy relative to the elements: -0.259 eV/atom. The space-group type is P4/mmm, No. 123. The value obtained for the spin magnetization is 0.00 Bohr magnetons per cell.

Cell lengths 3.6849, 3.6849, 7.6039 Å; angles 90.00, 90.00, 90.00 degrees
Element x y z (fractional)
Mg  0.5000  0.5000  0.0000
Ba  0.5000  0.5000  0.5000
Ga  0.0000  0.0000  0.8144
Ga  0.0000  0.0000  0.1856